(1)
DFT (GGA-PBE) results for crystalline TbZr2Sc8 at its relaxed geometry.

Unit cell a=8.449 b=15.302 c=5.404 alpha=90.00 beta=127.69 gamma=90.00
Space group C2/m (No. 12)
Inequivalent atoms, fractional coordinates:
Tb  0.000  0.000  0.000
Zr  0.000  0.309  0.500
Sc  0.000  0.207  0.000
Sc  0.039  0.500  0.773
Sc  0.226  0.129  0.706

Results
For the calculated formation energy, the calculation gives 0.150 eV per atom.

***

(2)
DFT (GGA-PBE) results for crystalline Mg3PO at its relaxed geometry.

Unit cell a=4.246 b=4.246 c=4.246 alpha=90.00 beta=90.00 gamma=90.00
Space group Pm-3m (No. 221)
Inequivalent atoms, fractional coordinates:
Mg  0.000  0.000  0.500
P  0.500  0.500  0.500
O  0.000  0.000  0.000

Results
The value obtained for the uncorrected formation energy is -5.28 eV/f.u.

***

| no. | energy relative to the lowest polymorph listed for this composition (eV/atom) |
| --- | --- |
| 1 | 0.011 |
| 2 | 0.000 |